[1]
KTeSeN2 | PBE | optimized geometry

Formation energy from raw total energies, eV per atom: 0.963
Final energy, eV per atom: -3.912

Unit cell a=4.3551 b=4.3551 c=5.5353 alpha=90.00 beta=90.00 gamma=90.00
With the nearest neighbours (Å) after each atom.
Space group P4/mmm (No. 123)
One atom of each set of equivalent atoms:
K (0.0000, 0.0000, 0.0000) [1 per cell]  4 Se 3.08
Te (0.5000, 0.5000, 0.5000) [1 per cell]  4 N 2.18
Se (0.5000, 0.5000, 0.0000) [1 per cell]  2 Te 2.77, 4 K 3.08
N (0.0000, 0.5000, 0.5000) [2 per cell]  2 Te 2.18

---

[2]
PaTlF5 | PBE | optimized geometry

Formation energy from raw total energies, eV per atom: -3.258
Final energy, eV per atom: -6.290

Unit cell a=4.6314 b=7.9509 c=9.7774 alpha=90.00 beta=90.00 gamma=90.00
With the nearest neighbours (Å) after each atom.
Space group Immm (No. 71)
One atom of each set of equivalent atoms:
Pa (0.0000, 0.0000, 0.0000) [2 per cell]  6 F 2.15-2.32
Tl (0.0000, 0.0000, 0.5000) [2 per cell]  6 F 2.74-2.93
F (0.0000, 0.0000, 0.2201) [4 per cell]  1 Pa 2.15
F (0.0000, 0.2744, 0.0000) [4 per cell]  1 Pa 2.18
F (0.0000, 0.5000, 0.5000) [2 per cell]  2 Pa 2.32

---

[3]
ScNiOs2 | PBE | optimized geometry

ΔE_f, meV per atom: 357
Final energy, eV per atom: -8.286

Unit cell a=3.7573 b=3.7573 c=18.6006 alpha=90.00 beta=90.00 gamma=90.00
With the nearest neighbours (Å) after each atom.
Space group I-42d (No. 122)
One atom of each set of equivalent atoms:
Sc (0.0000, 0.0000, 0.0000) [4 per cell]  4 Ni 2.66, 4 Os 2.74
Ni (0.0000, 0.0000, 0.5000) [4 per cell]  4 Os 2.62, 4 Sc 2.66
Os (0.2043, 0.2500, 0.6250) [8 per cell]  2 Os 2.43, 2 Ni 2.62

---

| no. | magnetization (μB/atom) |
| --- | --- |
| 1 | 0.47 |
| 2 | 0.14 |
| 3 | 0.00 |